No. 1
The following is a PBE-GGA calculation of an optimized crystal structure of Sc5AlIn2, from Alexandria.

Calculated formation energy: -30.8 kJ per mole of atoms
Final energy: -5.429 eV/atom

Cell lengths 4.5898, 4.5898, 16.8591 Å; angles 90.00, 90.00, 90.00 degrees
Space group I4/mmm (No. 139)
Symmetry-distinct sites (fractional):
Sc 0.0000 0.0000 0.0000 x2
Sc 0.0000 0.5000 0.1253 x8
Al 0.0000 0.0000 0.5000 x2
In 0.0000 0.0000 0.2494 x4

***

No. 2
The following is a PBE-GGA calculation of an optimized crystal structure of ScAlInSi2, from Alexandria.

Formation energy without anion corrections: 0.58 eV per atom
Final energy: -4.152 eV/atom

Cell lengths 4.7434, 4.7434, 5.1553 Å; angles 90.00, 90.00, 90.00 degrees
Space group P4/mmm (No. 123)
Symmetry-distinct sites (fractional):
Sc 0.0000 0.0000 0.0000 x1
Al 0.5000 0.5000 0.5000 x1
In 0.5000 0.5000 0.0000 x1
Si 0.0000 0.5000 0.5000 x2

***

No. 3
The following is a PBE-GGA calculation of an optimized crystal structure of Sc5AlIn2Tc2, from Alexandria.

Calculated formation energy: -17.7 kJ per mole of atoms
Final energy: -6.344 eV/atom

Cell lengths 10.3032, 10.3032, 3.9074 Å; angles 90.00, 90.00, 90.00 degrees
Space group P4/mbm (No. 127)
Symmetry-distinct sites (fractional):
Sc 0.0000 0.5000 0.0000 x2
Sc 0.0786 0.2053 0.0000 x8
Al 0.0000 0.0000 0.5000 x2
In 0.1714 0.6714 0.5000 x4
Tc 0.1230 0.3770 0.5000 x4

***

No. 4
The following is a PBE-GGA calculation of an optimized crystal structure of ThScAlIn, from Alexandria.

Calculated formation energy: -23.5 kJ per mole of atoms
Final energy: -5.302 eV/atom

Cell lengths 7.3418, 7.3418, 7.3418 Å; angles 90.00, 90.00, 90.00 degrees
Space group F-43m (No. 216)
Symmetry-distinct sites (fractional):
Th 0.0000 0.0000 0.0000 x4
Sc 0.0000 0.0000 0.5000 x4
Al 0.2500 0.2500 0.2500 x4
In 0.2500 0.2500 0.7500 x4

***

No. 5
The following is a PBE-GGA calculation of an optimized crystal structure of ScAlVIn2, from Alexandria.

Calculated formation energy: 64.6 kJ per mole of atoms
Final energy: -4.265 eV/atom

Cell lengths 5.1010, 5.1010, 4.7713 Å; angles 90.00, 90.00, 90.00 degrees
Space group P4/mmm (No. 123)
Symmetry-distinct sites (fractional):
Sc 0.0000 0.0000 0.0000 x1
Al 0.5000 0.5000 0.5000 x1
V 0.5000 0.5000 0.0000 x1
In 0.0000 0.5000 0.5000 x2

***

No. 6
The following is a PBE-GGA calculation of an optimized crystal structure of ScAlZnIn, from Alexandria.

Calculated formation energy: -32.4 kJ per mole of atoms
Final energy: -3.857 eV/atom

Cell lengths 4.1964, 4.2193, 4.2638 Å; angles 90.00, 90.00, 90.00 degrees
Space group Pmmm (No. 47)
Symmetry-distinct sites (fractional):
Sc 0.0000 0.0000 0.0000 x1
Al 0.5000 0.5000 0.0000 x1
Zn 0.5000 0.0000 0.5000 x1
In 0.0000 0.5000 0.5000 x1

***

No. 7
The following is a PBE-GGA calculation of an optimized crystal structure of ZrSc5AlIn2, from Alexandria.

Calculated formation energy: -1.6 kJ per mole of atoms
Final energy: -5.508 eV/atom

Cell lengths 7.6245, 7.6245, 14.7171 Å; angles 90.00, 90.00, 90.00 degrees
Space group I4/mcm (No. 140)
Symmetry-distinct sites (fractional):
Zr 0.0000 0.0000 0.2500 x4
Sc 0.0000 0.0000 0.0000 x4
Sc 0.2096 0.2904 0.1441 x16
Al 0.0000 0.5000 0.2500 x4
In 0.1221 0.3779 0.5000 x8

***

No. 8
The following is a PBE-GGA calculation of an optimized crystal structure of AlInSe2, from Alexandria.

Formation energy without anion corrections: -0.61 eV per atom
Final energy: -3.969 eV/atom

Cell lengths 3.7728, 3.7728, 23.1413 Å; angles 90.00, 90.00, 120.00 degrees
Space group R3m (No. 160, hexagonal axes)
Symmetry-distinct sites (fractional):
Al 0.0000 0.0000 0.0000 x3
In 0.0000 0.0000 0.8335 x3
Se 0.0000 0.0000 0.3938 x3
Se 0.0000 0.0000 0.6050 x3

***

The following size of the total moment values (in μB/atom) correspond, in order, to the records above: 0.26; 0.00; 0.00; 0.00; 0.62; 0.00; 0.00; 0.00.